1.
{"formula": "ZnTcSb2", "functional": "PBE", "state": "relaxed", "lattice_angstrom": [[7.665, 0.339, -0.159], [5.920, 4.880, 0.159], [-6.669, -2.932, 2.413]], "species": ["Sb", "Sb", "Zn", "Tc"], "fractional_positions": [[0.690, 0.190, 0.500], [0.960, 0.960, 0.000], [0.305, 0.805, 0.500], [0.545, 0.545, 0.000]], "formation_energy_uncorrected_ev_per_fu": 0.83, "energy_ev_per_atom": -4.76}

=====

2.
{"formula": "Zn2TcSb", "functional": "PBE", "state": "relaxed", "lattice_angstrom": [[-2.977, 2.673, 4.024], [4.841, -2.594, 1.425], [1.900, 2.129, 1.402]], "species": ["Sb", "Tc", "Zn", "Zn"], "fractional_positions": [[0.500, 0.000, 0.500], [0.000, 0.500, 0.500], [0.500, 0.500, 0.000], [0.000, 0.000, 0.000]], "formation_energy_uncorrected_ev_per_fu": 1.04, "energy_ev_per_atom": -4.00}

=====

3.
{"formula": "Zn2TcSb", "functional": "PBE", "state": "relaxed", "lattice_angstrom": [[2.961, 0.028, 0.000], [-0.027, 2.961, 0.000], [0.000, 0.000, 8.479]], "species": ["Zn", "Zn", "Sb", "Tc"], "fractional_positions": [[0.000, 0.000, 0.951], [0.000, 0.000, 0.549], [0.500, 0.500, 0.250], [0.500, 0.500, 0.750]], "formation_energy_uncorrected_ev_per_fu": 1.36, "energy_ev_per_atom": -3.92}

=====

What magnetic moment values result from the calculations? In sequence: 0.00; 0.50; 1.48 μB/cell.